Record 1
Ti2MnAlC after structural relaxation, computed with PBE.

The space group is P4/mmm (No. 123) and the conventional cell measures 4.2044, 4.2044 and 3.7407 Å, with angles of 90.00, 90.00 and 90.00 degrees. Symmetry generates all atoms from Ti at (0.0000, 0.5000, 0.0000), Mn at (0.0000, 0.0000, 0.5000), Al at (0.5000, 0.5000, 0.5000) and C at (0.0000, 0.0000, 0.0000).

The value obtained for the formation energy is -0.429 eV per atom. Its density of states at the Fermi level is 4.3 states/eV/cell. The crystal system is tetragonal.



Record 2
TmMn2AlC after structural relaxation, computed with PBE.

The space group is Cmcm (No. 63) and the conventional cell measures 3.7370, 10.7469 and 7.1223 Å, with angles of 90.00, 90.00 and 90.00 degrees. Symmetry generates all atoms from Tm at (0.0000, 0.0376, 0.2500), Mn at (0.0000, 0.3356, 0.0649), Al at (0.0000, 0.2416, 0.7500) and C at (0.0000, 0.5000, 0.0000).

The value obtained for the formation energy is -0.225 eV per atom. Its density of states at the Fermi level is 13.9 states/eV/cell. The crystal system is orthorhombic.



Record 3
TmMn2Al2C after structural relaxation, computed with PBE.

The space group is P4/mmm (No. 123) and the conventional cell measures 3.9047, 3.9047 and 5.5302 Å, with angles of 90.00, 90.00 and 90.00 degrees. Symmetry generates all atoms from Tm at (0.0000, 0.0000, 0.0000), Mn at (0.0000, 0.5000, 0.5000), Al at (0.5000, 0.5000, 0.2312) and C at (0.0000, 0.0000, 0.5000).

The value obtained for the formation energy is -0.319 eV per atom. Its density of states at the Fermi level is 2.5 states/eV/cell. The crystal system is tetragonal.



Record 4
Mn2AlVC after structural relaxation, computed with PBE.

The space group is P4/mmm (No. 123) and the conventional cell measures 3.8249, 3.8249 and 3.9659 Å, with angles of 90.00, 90.00 and 90.00 degrees. Symmetry generates all atoms from Mn at (0.0000, 0.5000, 0.0000), Al at (0.0000, 0.0000, 0.5000), V at (0.5000, 0.5000, 0.5000) and C at (0.5000, 0.5000, 0.0000).

The value obtained for the formation energy is -0.178 eV per atom. Its density of states at the Fermi level is 6.0 states/eV/cell. The crystal system is tetragonal.



Record 5
Mn2AlWC after structural relaxation, computed with PBE.

The space group is P4/mmm (No. 123) and the conventional cell measures 3.8367, 3.8367 and 4.1933 Å, with angles of 90.00, 90.00 and 90.00 degrees. Symmetry generates all atoms from Mn at (0.0000, 0.5000, 0.0000), Al at (0.0000, 0.0000, 0.5000), W at (0.5000, 0.5000, 0.5000) and C at (0.5000, 0.5000, 0.0000).

The value obtained for the formation energy is -0.019 eV per atom. Its density of states at the Fermi level is 4.5 states/eV/cell. The crystal system is tetragonal.



Record 6
YMn2Al2C after structural relaxation, computed with PBE.

The space group is P4/mmm (No. 123) and the conventional cell measures 3.9189, 3.9189 and 5.5875 Å, with angles of 90.00, 90.00 and 90.00 degrees. Symmetry generates all atoms from Y at (0.0000, 0.0000, 0.0000), Mn at (0.0000, 0.5000, 0.5000), Al at (0.5000, 0.5000, 0.2327) and C at (0.0000, 0.0000, 0.5000).

The value obtained for the formation energy is -0.332 eV per atom. Its density of states at the Fermi level is 2.6 states/eV/cell. The crystal system is tetragonal.